PBE SiOs2Ru, optimized geometry; symmetry = Immm (71); DFT total energy = -37.586 eV for the cell shown; D(E_F) = 0.52 states/eV/atom; ΔE_f (raw) = -107 meV/atom; density = 15.35 g/cm3
1.0
-1.418 2.160 4.501
1.418 -2.160 4.501
1.418 2.160 -4.501
Si Os Ru
1 2 1
Cartesian
0.000 0.000 0.000
1.418 0.000 1.952
0.000 2.160 2.550
0.000 0.000 4.501


PBE SiOsRu2, optimized geometry; symmetry = F-43m (216); DFT total energy = -34.664 eV for the cell shown; D(E_F) = 1.04 states/eV/atom; ΔE_f (raw) = 135 meV/atom; density = 12.65 g/cm3
1.0
0.000 3.022 3.022
3.022 0.000 3.022
3.022 3.022 0.000
Si Os Ru
1 1 2
Cartesian
0.000 0.000 0.000
1.511 1.511 1.511
3.022 3.022 3.022
4.533 4.533 4.533


PBE SiOsRu2, optimized geometry; symmetry = R3m (160); DFT total energy = -35.002 eV for the cell shown; D(E_F) = 0.69 states/eV/atom; ΔE_f (raw) = 50 meV/atom; density = 11.69 g/cm3
1.0
2.013 1.162 4.255
-2.013 1.162 4.255
0.000 -2.324 4.255
Si Os Ru
1 1 2
Cartesian
0.000 0.000 0.000
0.000 0.000 2.436
0.000 0.000 5.197
0.000 0.000 7.789


PBE SiOsRu2, optimized geometry; symmetry = P4mm (99); DFT total energy = -35.908 eV for the cell shown; D(E_F) = 0.52 states/eV/atom; ΔE_f (raw) = -176 meV/atom; density = 12.97 g/cm3
1.0
2.846 0.000 0.000
0.000 2.846 0.000
0.000 0.000 6.642
Si Os Ru
1 1 2
Cartesian
0.000 0.000 0.000
1.423 1.423 1.526
0.000 0.000 3.337
1.423 1.423 5.238


PBE Si2OsRu, optimized geometry; symmetry = Cmmm (65); DFT total energy = -31.501 eV for the cell shown; D(E_F) = 0.84 states/eV/atom; ΔE_f (raw) = -37 meV/atom; density = 10.36 g/cm3
1.0
1.436 -2.483 0.000
1.436 2.483 0.000
0.000 0.000 7.807
Si Os Ru
2 1 1
Cartesian
0.000 0.000 1.929
0.000 0.000 5.878
1.436 0.000 3.904
1.436 0.000 0.000


PBE SmSi2OsRu, optimized geometry; symmetry = I-4m2 (119); DFT total energy = -40.124 eV for the cell shown; D(E_F) = 0.41 states/eV/atom; ΔE_f (raw) = -811 meV/atom; density = 9.62 g/cm3
1.0
-2.100 2.100 4.869
2.100 -2.100 4.869
2.100 2.100 -4.869
Sm Si Os Ru
1 2 1 1
Cartesian
0.000 0.000 0.000
0.000 0.000 3.587
0.000 0.000 6.151
2.100 0.000 2.435
0.000 2.100 2.435


PBE SiSnOs2Ru, optimized geometry; symmetry = P4/mmm (123); DFT total energy = -34.026 eV for the cell shown; D(E_F) = 1.00 states/eV/atom; ΔE_f (raw) = 1427 meV/atom; density = 10.20 g/cm3
1.0
4.803 0.000 0.000
0.000 4.803 0.000
0.000 0.000 4.435
Si Sn Os Ru
1 1 2 1
Cartesian
0.000 0.000 0.000
2.401 2.401 0.000
0.000 2.401 2.217
2.401 0.000 2.217
0.000 0.000 2.217


PBE SrSi2OsRu, optimized geometry; symmetry = I-4m2 (119); DFT total energy = -35.920 eV for the cell shown; D(E_F) = 0.32 states/eV/atom; ΔE_f (raw) = -577 meV/atom; density = 7.87 g/cm3
1.0
-2.129 2.129 5.065
2.129 -2.129 5.065
2.129 2.129 -5.065
Sr Si Os Ru
1 2 1 1
Cartesian
0.000 0.000 0.000
0.000 0.000 3.628
0.000 0.000 6.502
0.000 2.129 2.532
2.129 0.000 2.532